# 1
DFT (GGA-PBE) results for a relaxed structure of TeH2Cl.

a b c (Å): 4.6401 4.6401 12.2528
angles (deg): 90.00 90.00 90.00
With the nearest neighbours (Å) after each atom.
Space group I4_1/amd (No. 141, origin choice 2)
One atom of each set of equivalent atoms:
Te 0.0000 0.2500 0.3750 [4 per cell]  4 H 1.92
H 0.0000 0.0000 0.5000 [8 per cell]  2 Te 1.92
Cl 0.0000 0.2500 0.8750 [4 per cell]  8 H 3.01, 4 Te 3.28

=====

# 2
DFT (GGA-PBE) results for a relaxed structure of YSc2Cr.

a b c (Å): 4.7792 3.3149 12.0388
angles (deg): 90.00 90.00 90.00
With the nearest neighbours (Å) after each atom.
Space group Amm2 (No. 38)
One atom of each set of equivalent atoms:
Y 0.0000 0.0000 0.0000 [2 per cell]  4 Cr 3.21, 7 Sc 3.23-3.56, 2 Y 3.31
Sc 0.0000 0.0000 0.7300 [2 per cell]  2 Cr 2.77
Sc 0.5000 0.0000 0.3301 [2 per cell]  3 Cr 3.10-3.41, 6 Sc 3.15-3.31
Cr 0.5000 0.0000 0.6130 [2 per cell]  4 Sc 2.77-3.10

DFT formation energy, meV/atom: 258.3

=====

# 3
DFT (GGA-PBE) results for a relaxed structure of Li4ZnAu.

a b c (Å): 7.6291 4.4058 5.4171
angles (deg): 90.00 90.28 90.00
With the nearest neighbours (Å) after each atom.
Space group C2/m (No. 12)
One atom of each set of equivalent atoms:
Li 0.1666 0.0000 0.2412 [4 per cell]  5 Li 2.54-2.79
Li 0.1668 0.0000 0.7554 [4 per cell]  5 Li 2.54-2.79
Zn 0.0000 0.5000 0.5000 [2 per cell]  2 Au 2.71, 12 Li 2.89-2.91
Au 0.0000 0.5000 0.0000 [2 per cell]  2 Zn 2.71, 12 Li 2.86-2.87

DFT formation energy, meV/atom: -303.0

=====

# 4
DFT (GGA-PBE) results for a relaxed structure of ZrCrMo2.

a b c (Å): 3.1910 4.5620 8.9288
angles (deg): 90.00 90.00 90.00
With the nearest neighbours (Å) after each atom.
Space group Imm2 (No. 44)
One atom of each set of equivalent atoms:
Zr 0.0000 0.0000 0.0000 [2 per cell]  8 Mo 2.78-3.11, 2 Cr 2.81
Cr 0.0000 0.5000 0.7591 [2 per cell]  6 Mo 2.62-2.79, 2 Zr 2.81
Mo 0.0000 0.0000 0.4925 [2 per cell]  2 Cr 2.62, 2 Mo 2.70, 4 Zr 2.78
Mo 0.0000 0.5000 0.2363 [2 per cell]  2 Mo 2.70, 4 Cr 2.79, 2 Zr 2.84

DFT formation energy, meV/atom: 117.2

=====

# 5
DFT (GGA-PBE) results for a relaxed structure of Rb2Hg3Pd.

a b c (Å): 4.9616 4.9832 8.7228
angles (deg): 90.00 90.00 90.00
With the nearest neighbours (Å) after each atom.
Space group Pmm2 (No. 25)
One atom of each set of equivalent atoms:
Rb 0.0000 0.0000 0.0000 [1 per cell]  8 Hg 3.58-3.97, 4 Pd 3.80
Rb 0.5000 0.0000 0.4647 [1 per cell]  2 Pd 3.61, 8 Hg 3.81-3.86
Hg 0.0000 0.5000 0.2954 [1 per cell]  2 Pd 2.73
Hg 0.0000 0.5000 0.6463 [1 per cell]  3 Hg 3.06-3.07
Hg 0.5000 0.5000 0.8540 [1 per cell]  1 Pd 2.72
Pd 0.5000 0.5000 0.1657 [1 per cell]  3 Hg 2.72-2.73

DFT formation energy, meV/atom: -185.4

=====

# 6
DFT (GGA-PBE) results for a relaxed structure of Zr2ScAu.

a b c (Å): 10.8783 3.2237 5.4622
angles (deg): 90.00 115.15 90.00
With the nearest neighbours (Å) after each atom.
Space group Cm (No. 8)
One atom of each set of equivalent atoms:
Zr 0.0000 0.0000 0.0000 [2 per cell]  2 Au 2.93, 5 Zr 3.01-3.22, 1 Sc 3.21
Zr 0.2332 0.0000 0.8418 [2 per cell]  2 Au 2.94, 5 Zr 3.01-3.22, 4 Sc 3.18-3.23
Sc 0.2821 0.5000 0.3775 [2 per cell]  2 Au 2.82
Au 0.0090 0.5000 0.4556 [2 per cell]  2 Sc 2.82, 4 Zr 2.93-2.94

DFT formation energy, meV/atom: -304.0

=====

Across the entries above, total magnetization takes the values 0.0000 0.4252 0.0000 0.0000 0.0000 0.0000 μB per atom, respectively.
Across the entries above, VASP energy takes the values -0.19689 -0.50929 -0.17180 -0.72332 -0.11203 -0.51304 Ry/atom, respectively.